# TcNiIr2 PBE-GGA optimized geometry
data_TcNiIr2
_chemical_formula_sum 'Tc1 Ni1 Ir2'
_space_group_name_H-M_alt 'P 4/m m m'
_space_group_IT_number 123
_space_group_name_Hall '-P 4 2'
_cell_length_a 3.833
_cell_length_b 3.833
_cell_length_c 3.741
_cell_angle_alpha 90.00
_cell_angle_beta 90.00
_cell_angle_gamma 90.00
loop_
_atom_site_label
_atom_site_type_symbol
_atom_site_fract_x
_atom_site_fract_y
_atom_site_fract_z
Tc1 Tc 0.000 0.000 0.000
Ni1 Ni 0.500 0.500 0.000
Ir1 Ir 0.000 0.500 0.500
# Magnetization in Bohr magnetons per cell: 0.000
# Volume in Å³ per cell: 55.0
# Total DFT energy (no corrections) in eV per atom: -8.44
# ΔE_f in meV/atom: 24
# Offset from the most stable computed form in meV/atom: 146